This record from Alexandria via LeMat-Bulk describes a relaxed structure of PmSmZnNi. The functional is PBE.

Values from the calculation:
Crystal system: orthorhombic
Formation enthalpy at 0 K in meV per atom: -301
M_tot in Bohr magnetons per cell: 0.00

Cell lengths 4.4691, 3.8667, 10.8246 Å; angles 90.00, 90.00, 90.00 degrees
With the nearest neighbours (Å) after each atom.
Space group Amm2 (No. 38)
Asymmetric unit:
Pm: 0.0000 0.0000 0.0000 [2 per cell]  2 Ni 2.90, 4 Zn 3.05
Sm: 0.5000 0.0000 0.7207 [2 per cell]  3 Zn 2.98-3.15, 4 Ni 3.08
Zn: 0.5000 0.0000 0.4299 [2 per cell]  2 Ni 2.63
Ni: 0.0000 0.0000 0.3009 [2 per cell]  2 Zn 2.63, 2 Pm 2.90

=====

This record from Alexandria via LeMat-Bulk describes a relaxed structure of Li2PaVN4. The functional is PBE.

Values from the calculation:
ΔE_f (raw) in eV/atom: -0.70
Crystal system: orthorhombic
M_tot in Bohr magnetons per cell: 0.00

Cell lengths 3.3161, 11.5948, 9.3697 Å; angles 90.00, 90.00, 90.00 degrees
With the nearest neighbours (Å) after each atom.
Space group Cmcm (No. 63)
Asymmetric unit:
Li: 0.0000 0.0971 0.0399 [8 per cell]  4 N 1.84-2.04
Pa: 0.0000 0.4389 0.2500 [4 per cell]  8 N 2.45-2.55
V: 0.0000 0.2944 0.7500 [4 per cell]  2 N 1.72
N: 0.0000 0.1064 0.2500 [4 per cell]  2 Li 1.97, 2 V 2.02
N: 0.0000 0.1873 0.6223 [8 per cell]  1 V 1.72, 1 Li 1.84
N: 0.0000 0.5000 0.0000 [4 per cell]  4 Li 2.04

=====

This record from Alexandria via LeMat-Bulk describes a relaxed structure of TlWCl. The functional is PBE.

Values from the calculation:
ΔE_f (raw) in eV/atom: 0.90
E above lowest polymorph in meV per atom: 516
Crystal system: hexagonal
M_tot in Bohr magnetons per cell: 0.00

Cell lengths 4.6951, 4.6951, 3.0169 Å; angles 90.00, 90.00, 120.00 degrees
With the nearest neighbours (Å) after each atom.
Space group P-6m2 (No. 187)
Asymmetric unit:
Tl: 0.0000 0.0000 0.0000 [1 per cell]  2 Tl 3.02, 6 Cl 3.10, 6 W 3.10
W: 0.6667 0.3333 0.5000 [1 per cell]  3 Cl 2.71, 2 W 3.02
Cl: 0.3333 0.6667 0.5000 [1 per cell]  3 W 2.71, 2 Cl 3.02

=====

This record from Alexandria via LeMat-Bulk describes a relaxed structure of TbHo7Er3. The functional is PBE.

Values from the calculation:
E above lowest polymorph in meV per atom: 0
Crystal system: monoclinic
Formation enthalpy at 0 K in meV per atom: 150
M_tot in Bohr magnetons per cell: 0.00

Cell lengths 6.8920, 5.4724, 9.8006 Å; angles 90.00, 110.13, 90.00 degrees
With the nearest neighbours (Å) after each atom.
Space group P2/m (No. 10)
Asymmetric unit:
Tb: 0.0000 0.0000 0.0000 [1 per cell]  2 Er 3.45, 10 Ho 3.50-3.76
Ho: 0.0000 0.0000 0.5000 [1 per cell]  4 Er 3.34
Ho: 0.1465 0.5000 0.7908 [2 per cell]  3 Ho 3.23-3.51, 2 Er 3.29-3.30
Ho: 0.3222 0.5000 0.1416 [2 per cell]  5 Ho 3.23-3.51, 3 Er 3.48-3.61, 2 Tb 3.50
Ho: 0.4194 0.0000 0.3311 [2 per cell]  3 Ho 3.11-3.24, 1 Er 3.47
Er: 0.2783 0.5000 0.4984 [2 per cell]  1 Er 3.05, 4 Ho 3.29-3.34
Er: 0.5000 0.0000 0.0000 [1 per cell]  2 Tb 3.45, 10 Ho 3.47-3.77